1.
# PrEr2Zn3 (PBE, relaxed)
# Crystal system   tetragonal
# Formation enthalpy at 0 K   -31.3 kJ per mole of atoms
# Magnetization   0.0 μB/cell
data_PrEr2Zn3
_chemical_formula_sum 'Pr1 Er2 Zn3'
_cell_length_a 3.587
_cell_length_b 3.587
_cell_length_c 10.845
_cell_angle_alpha 90.00
_cell_angle_beta 90.00
_cell_angle_gamma 90.00
_space_group_name_H-M_alt 'P 4/m m m'
_space_group_IT_number 123
_space_group_name_Hall '-P 4 2'
loop_
_atom_site_label
_atom_site_fract_x
_atom_site_fract_y
_atom_site_fract_z
Pr1 0.000 0.000 0.000
Er1 0.000 0.000 0.339
Zn1 0.500 0.500 0.185
Zn2 0.500 0.500 0.500

***

2.
# PrErZn (PBE, relaxed)
# Crystal system   tetragonal
# ΔE to the lowest computed polymorph   0.228 eV per atom
# Formation enthalpy at 0 K   2.8 kJ per mole of atoms
# Magnetization   0.0 μB/cell
data_PrErZn
_chemical_formula_sum 'Pr2 Er2 Zn2'
_cell_length_a 5.017
_cell_length_b 5.017
_cell_length_c 7.118
_cell_angle_alpha 90.00
_cell_angle_beta 90.00
_cell_angle_gamma 90.00
_space_group_name_H-M_alt 'I -4 m 2'
_space_group_IT_number 119
_space_group_name_Hall 'I -4 -2'
loop_
_atom_site_label
_atom_site_fract_x
_atom_site_fract_y
_atom_site_fract_z
Pr1 0.000 0.000 0.000
Er1 0.000 0.000 0.500
Zn1 0.000 0.500 0.750

***

3.
# PrErZn2 (PBE, relaxed)
# Crystal system   tetragonal
# ΔE to the lowest computed polymorph   0.000 eV per atom
# Formation enthalpy at 0 K   -30.7 kJ per mole of atoms
# Magnetization   0.0 μB/cell
data_PrErZn2
_chemical_formula_sum 'Pr1 Er1 Zn2'
_cell_length_a 3.591
_cell_length_b 3.591
_cell_length_c 7.382
_cell_angle_alpha 90.00
_cell_angle_beta 90.00
_cell_angle_gamma 90.00
_space_group_name_H-M_alt 'P 4/m m m'
_space_group_IT_number 123
_space_group_name_Hall '-P 4 2'
loop_
_atom_site_label
_atom_site_fract_x
_atom_site_fract_y
_atom_site_fract_z
Pr1 0.000 0.000 0.000
Er1 0.000 0.000 0.500
Zn1 0.500 0.500 0.275

***

4.
# PrEr3Zn4 (PBE, relaxed)
# Crystal system   tetragonal
# Formation enthalpy at 0 K   -31.5 kJ per mole of atoms
# Magnetization   0.0 μB/cell
data_PrEr3Zn4
_chemical_formula_sum 'Pr1 Er3 Zn4'
_cell_length_a 5.040
_cell_length_b 5.040
_cell_length_c 7.236
_cell_angle_alpha 90.00
_cell_angle_beta 90.00
_cell_angle_gamma 90.00
_space_group_name_H-M_alt 'P 4/m m m'
_space_group_IT_number 123
_space_group_name_Hall '-P 4 2'
loop_
_atom_site_label
_atom_site_fract_x
_atom_site_fract_y
_atom_site_fract_z
Pr1 0.000 0.000 0.000
Er1 0.000 0.000 0.500
Er2 0.500 0.500 0.000
Er3 0.500 0.500 0.500
Zn1 0.000 0.500 0.264

***

5.
# Pr3ErZn3 (PBE, relaxed)
# Crystal system   monoclinic
# Formation enthalpy at 0 K   -12.3 kJ per mole of atoms
# Magnetization   0.0 μB/cell
data_Pr3ErZn3
_chemical_formula_sum 'Pr12 Er4 Zn12'
_cell_length_a 9.540
_cell_length_b 11.092
_cell_length_c 7.408
_cell_angle_alpha 90.00
_cell_angle_beta 98.48
_cell_angle_gamma 90.00
_space_group_name_H-M_alt 'C 1 2/m 1'
_space_group_IT_number 12
loop_
_space_group_symop_operation_xyz
'x,y,z'
'-x,-y,-z'
'-x,y,-z'
'x,-y,z'
'x+1/2,y+1/2,z'
'-x+1/2,-y+1/2,-z'
'-x+1/2,y+1/2,-z'
'x+1/2,-y+1/2,z'
loop_
_atom_site_label
_atom_site_fract_x
_atom_site_fract_y
_atom_site_fract_z
Pr1 0.000 0.180 0.000
Pr2 0.000 0.260 0.500
Pr3 0.162 0.500 0.901
Er1 0.228 0.500 0.437
Zn1 0.005 0.000 0.691
Zn2 0.247 0.291 0.213

***

6.
# PrErZn2 (PBE, relaxed)
# Crystal system   trigonal
# ΔE to the lowest computed polymorph   0.222 eV per atom
# Formation enthalpy at 0 K   -9.3 kJ per mole of atoms
# Magnetization   0.0 μB/cell
data_PrErZn2
_chemical_formula_sum 'Pr3 Er3 Zn6'
_cell_length_a 3.6348
_cell_length_b 3.6348
_cell_length_c 27.2750
_cell_angle_alpha 90.00
_cell_angle_beta 90.00
_cell_angle_gamma 120.00
_space_group_name_H-M_alt 'R -3 m'
_space_group_IT_number 166
_space_group_name_Hall '-R 3 2"'
loop_
_atom_site_label
_atom_site_fract_x
_atom_site_fract_y
_atom_site_fract_z
Pr1 0.0000 0.0000 0.0000
Er1 0.0000 0.0000 0.5000
Zn1 0.0000 0.0000 0.2455

***

7.
# PrEr3Zn8 (PBE, relaxed)
# Crystal system   trigonal
# Formation enthalpy at 0 K   -29.9 kJ per mole of atoms
# Magnetization   0.0 μB/cell
data_PrEr3Zn8
_chemical_formula_sum 'Pr1 Er3 Zn8'
_cell_length_a 5.5490
_cell_length_b 5.5490
_cell_length_c 8.7047
_cell_angle_alpha 90.00
_cell_angle_beta 90.00
_cell_angle_gamma 120.00
_space_group_name_H-M_alt 'P 3 m 1'
_space_group_IT_number 156
loop_
_space_group_symop_operation_xyz
'x,y,z'
'-y,x-y,z'
'-x+y,-x,z'
'-y,-x,z'
'-x+y,y,z'
'x,x-y,z'
loop_
_atom_site_label
_atom_site_fract_x
_atom_site_fract_y
_atom_site_fract_z
Pr1 0.0000 0.0000 0.0000
Er1 0.0000 0.0000 0.3859
Er2 0.6667 0.3333 0.5068
Er3 0.6667 0.3333 0.8889
Zn1 0.1659 0.3317 0.6889
Zn2 0.3333 0.6667 0.4437
Zn3 0.3333 0.6667 0.9461
Zn4 0.5027 0.0055 0.1991

***

8.
# Pr2Er3Zn2 (PBE, relaxed)
# Crystal system   orthorhombic
# ΔE to the lowest computed polymorph   0.000 eV per atom
# Formation enthalpy at 0 K   -12.9 kJ per mole of atoms
# Magnetization   0.0 μB/cell
data_Pr2Er3Zn2
_chemical_formula_sum 'Pr4 Er6 Zn4'
_cell_length_a 3.631
_cell_length_b 30.521
_cell_length_c 3.532
_cell_angle_alpha 90.00
_cell_angle_beta 90.00
_cell_angle_gamma 90.00
_space_group_name_H-M_alt 'C m m m'
_space_group_IT_number 65
_space_group_name_Hall '-C 2 2'
loop_
_atom_site_label
_atom_site_fract_x
_atom_site_fract_y
_atom_site_fract_z
Pr1 0.000 0.198 0.000
Er1 0.000 0.080 0.000
Er2 0.000 0.500 0.500
Zn1 0.000 0.366 0.500

***

9.
# Pr2ErZn2 (PBE, relaxed)
# Crystal system   orthorhombic
# ΔE to the lowest computed polymorph   0.000 eV per atom
# Formation enthalpy at 0 K   -19.4 kJ per mole of atoms
# Magnetization   0.1 μB/cell
data_Pr2ErZn2
_chemical_formula_sum 'Pr4 Er2 Zn4'
_cell_length_a 3.671
_cell_length_b 20.389
_cell_length_c 3.562
_cell_angle_alpha 90.00
_cell_angle_beta 90.00
_cell_angle_gamma 90.00
_space_group_name_H-M_alt 'C m m m'
_space_group_IT_number 65
_space_group_name_Hall '-C 2 2'
loop_
_atom_site_label
_atom_site_fract_x
_atom_site_fract_y
_atom_site_fract_z
Pr1 0.000 0.173 0.000
Er1 0.000 0.000 0.000
Zn1 0.000 0.421 0.500

***

10.
# Pr2ErZn6 (PBE, relaxed)
# Crystal system   hexagonal
# Formation enthalpy at 0 K   -33.3 kJ per mole of atoms
# Magnetization   0.0 μB/cell
data_Pr2ErZn6
_chemical_formula_sum 'Pr2 Er1 Zn6'
_cell_length_a 7.8949
_cell_length_b 7.8949
_cell_length_c 3.5809
_cell_angle_alpha 90.00
_cell_angle_beta 90.00
_cell_angle_gamma 120.00
_space_group_name_H-M_alt 'P 6/m m m'
_space_group_IT_number 191
_space_group_name_Hall '-P 6 2'
loop_
_atom_site_label
_atom_site_fract_x
_atom_site_fract_y
_atom_site_fract_z
Pr1 0.3333 0.6667 0.0000
Er1 0.0000 0.0000 0.0000
Zn1 0.0000 0.3276 0.5000

***

11.
# Pr4ErZn (PBE, relaxed)
# Crystal system   tetragonal
# ΔE to the lowest computed polymorph   0.000 eV per atom
# Formation enthalpy at 0 K   -8.5 kJ per mole of atoms
# Magnetization   0.0 μB/cell
data_Pr4ErZn
_chemical_formula_sum 'Pr4 Er1 Zn1'
_cell_length_a 3.691
_cell_length_b 3.691
_cell_length_c 14.022
_cell_angle_alpha 90.00
_cell_angle_beta 90.00
_cell_angle_gamma 90.00
_space_group_name_H-M_alt 'P 4/m m m'
_space_group_IT_number 123
_space_group_name_Hall '-P 4 2'
loop_
_atom_site_label
_atom_site_fract_x
_atom_site_fract_y
_atom_site_fract_z
Pr1 0.000 0.000 0.133
Pr2 0.500 0.500 0.322
Er1 0.000 0.000 0.500
Zn1 0.500 0.500 0.000

***

12.
# Pr3ErZn4 (PBE, relaxed)
# Crystal system   tetragonal
# Formation enthalpy at 0 K   -29.4 kJ per mole of atoms
# Magnetization   0.0 μB/cell
data_Pr3ErZn4
_chemical_formula_sum 'Pr3 Er1 Zn4'
_cell_length_a 3.658
_cell_length_b 3.658
_cell_length_c 14.765
_cell_angle_alpha 90.00
_cell_angle_beta 90.00
_cell_angle_gamma 90.00
_space_group_name_H-M_alt 'P 4/m m m'
_space_group_IT_number 123
_space_group_name_Hall '-P 4 2'
loop_
_atom_site_label
_atom_site_fract_x
_atom_site_fract_y
_atom_site_fract_z
Pr1 0.000 0.000 0.000
Pr2 0.000 0.000 0.257
Er1 0.000 0.000 0.500
Zn1 0.500 0.500 0.126
Zn2 0.500 0.500 0.390

***

Let's list density of states at the Fermi level in order: 6.7; 4.2; 4.1; 8.3; 6.1; 4.5; 8.1; 7.6; 6.3; 7.5; 7.0; 9.6 states/eV/f.u..
Let's list VASP energy in order: -3.279; -3.510; -3.291; -3.272; -3.374; -3.069; -2.699; -3.818; -3.535; -2.763; -4.248; -3.305 eV/atom.